i:
DFT (GGA-PBE) results for CuSbTe2P after structural relaxation.

Summary:
**Calculated volume**: 26.0 Å³ per atom
**Space-group type**: P4/mmm, No. 123
**Crystal system**: tetragonal

The structure in CIF format:
```
data_CuSbTe2P
_space_group_name_H-M_alt 'P 1'
_space_group_IT_number 1
_cell_length_a 5.0927
_cell_length_b 5.0927
_cell_length_c 5.0072
_cell_angle_alpha 90.00
_cell_angle_beta 90.00
_cell_angle_gamma 90.00
loop_
_space_group_symop_operation_xyz
'x,y,z'
loop_
_atom_site_label
_atom_site_type_symbol
_atom_site_fract_x
_atom_site_fract_y
_atom_site_fract_z
Cu1 Cu 0.0000 0.0000 0.0000
Sb1 Sb 0.0000 0.0000 0.5000
Te1 Te 0.0000 0.5000 0.0000
Te2 Te 0.5000 0.0000 0.0000
P1 P 0.5000 0.5000 0.5000
```

---

ii:
DFT (GGA-PBE) results for CuSbTe2P after structural relaxation.

Summary:
**Calculated volume**: 28.5 Å³ per atom
**Space-group type**: P4/mmm, No. 123
**Crystal system**: tetragonal

The structure in CIF format:
```
data_CuSbTe2P
_space_group_name_H-M_alt 'P 1'
_space_group_IT_number 1
_cell_length_a 5.3368
_cell_length_b 5.3368
_cell_length_c 4.9994
_cell_angle_alpha 90.00
_cell_angle_beta 90.00
_cell_angle_gamma 90.00
loop_
_space_group_symop_operation_xyz
'x,y,z'
loop_
_atom_site_label
_atom_site_type_symbol
_atom_site_fract_x
_atom_site_fract_y
_atom_site_fract_z
Cu1 Cu 0.0000 0.0000 0.0000
Sb1 Sb 0.5000 0.5000 0.0000
Te1 Te 0.0000 0.5000 0.5000
Te2 Te 0.5000 0.0000 0.5000
P1 P 0.5000 0.5000 0.5000
```

---

The most stable arrangement is i, and the next structure is 3.9 kJ/mol of atoms less stable.

---

i:
DFT (GGA-PBE) results for CuSb2TeP after structural relaxation.

Summary:
**Calculated volume**: 25.7 Å³ per atom
**Space-group type**: P4/mmm, No. 123
**Crystal system**: tetragonal

The structure in CIF format:
```
data_CuSb2TeP
_space_group_name_H-M_alt 'P 1'
_space_group_IT_number 1
_cell_length_a 5.0291
_cell_length_b 5.0291
_cell_length_c 5.0841
_cell_angle_alpha 90.00
_cell_angle_beta 90.00
_cell_angle_gamma 90.00
loop_
_space_group_symop_operation_xyz
'x,y,z'
loop_
_atom_site_label
_atom_site_type_symbol
_atom_site_fract_x
_atom_site_fract_y
_atom_site_fract_z
Cu1 Cu 0.0000 0.0000 0.0000
Sb1 Sb 0.0000 0.5000 0.0000
Sb2 Sb 0.5000 0.0000 0.0000
Te1 Te 0.0000 0.0000 0.5000
P1 P 0.5000 0.5000 0.5000
```

---

ii:
DFT (GGA-PBE) results for CuSb2TeP after structural relaxation.

Summary:
**Calculated volume**: 28.1 Å³ per atom
**Space-group type**: P4/mmm, No. 123
**Crystal system**: tetragonal

The structure in CIF format:
```
data_CuSb2TeP
_space_group_name_H-M_alt 'P 1'
_space_group_IT_number 1
_cell_length_a 5.1457
_cell_length_b 5.1457
_cell_length_c 5.2982
_cell_angle_alpha 90.00
_cell_angle_beta 90.00
_cell_angle_gamma 90.00
loop_
_space_group_symop_operation_xyz
'x,y,z'
loop_
_atom_site_label
_atom_site_type_symbol
_atom_site_fract_x
_atom_site_fract_y
_atom_site_fract_z
Cu1 Cu 0.0000 0.0000 0.0000
Sb1 Sb 0.0000 0.5000 0.5000
Sb2 Sb 0.5000 0.0000 0.5000
Te1 Te 0.5000 0.5000 0.0000
P1 P 0.5000 0.5000 0.5000
```

---

The most stable arrangement is i, and the next structure is 8.4 kJ/mol of atoms less stable.

---

i:
DFT (GGA-PBE) results for CuPSe2 after structural relaxation.

Summary:
**Calculated volume**: 18.1 Å³ per atom
**Space-group type**: R-3m, No. 166
**Crystal system**: trigonal

The structure in CIF format:
```
data_CuPSe2
_space_group_name_H-M_alt 'P 1'
_space_group_IT_number 1
_cell_length_a 6.3855
_cell_length_b 6.3855
_cell_length_c 6.3855
_cell_angle_alpha 33.93
_cell_angle_beta 33.93
_cell_angle_gamma 33.93
loop_
_space_group_symop_operation_xyz
'x,y,z'
loop_
_atom_site_label
_atom_site_type_symbol
_atom_site_fract_x
_atom_site_fract_y
_atom_site_fract_z
Cu1 Cu 0.0000 0.0000 0.0000
P1 P 0.5000 0.5000 0.5000
Se1 Se 0.2511 0.2511 0.2511
Se2 Se 0.7489 0.7489 0.7489
```

---

ii:
DFT (GGA-PBE) results for CuPSe2 after structural relaxation.

Summary:
**Calculated volume**: 22.2 Å³ per atom
**Space-group type**: Pnma, No. 62
**Crystal system**: orthorhombic

The structure in CIF format:
```
data_CuPSe2
_space_group_name_H-M_alt 'P 1'
_space_group_IT_number 1
_cell_length_a 6.1929
_cell_length_b 3.7720
_cell_length_c 15.2076
_cell_angle_alpha 90.00
_cell_angle_beta 90.00
_cell_angle_gamma 90.00
loop_
_space_group_symop_operation_xyz
'x,y,z'
loop_
_atom_site_label
_atom_site_type_symbol
_atom_site_fract_x
_atom_site_fract_y
_atom_site_fract_z
Cu1 Cu 0.2070 0.2500 0.1707
Cu2 Cu 0.2930 0.7500 0.6707
Cu3 Cu 0.7070 0.2500 0.3293
Cu4 Cu 0.7930 0.7500 0.8293
P1 P 0.2124 0.7500 0.4191
P2 P 0.2876 0.2500 0.9191
P3 P 0.7124 0.7500 0.0809
P4 P 0.7876 0.2500 0.5809
Se1 Se 0.1539 0.2500 0.5902
Se2 Se 0.1805 0.7500 0.8237
Se3 Se 0.3195 0.2500 0.3237
Se4 Se 0.3461 0.7500 0.0902
Se5 Se 0.6539 0.2500 0.9098
Se6 Se 0.6805 0.7500 0.6763
Se7 Se 0.8195 0.2500 0.1763
Se8 Se 0.8461 0.7500 0.4098
```

---

The most stable arrangement is ii, and the next structure is 9.7 kJ/mol of atoms less stable.

---

i:
DFT (GGA-PBE) results for CuPSe2 after structural relaxation.

Summary:
**Calculated volume**: 25.8 Å³ per atom
**Space-group type**: Cm, No. 8
**Crystal system**: monoclinic

The structure in CIF format:
```
data_CuPSe2
_space_group_name_H-M_alt 'P 1'
_space_group_IT_number 1
_cell_length_a 6.5423
_cell_length_b 6.5423
_cell_length_c 4.5376
_cell_angle_alpha 98.53
_cell_angle_beta 98.53
_cell_angle_gamma 32.59
loop_
_space_group_symop_operation_xyz
'x,y,z'
loop_
_atom_site_label
_atom_site_type_symbol
_atom_site_fract_x
_atom_site_fract_y
_atom_site_fract_z
Cu1 Cu 0.0000 0.0000 0.0000
P1 P 0.3933 0.3933 0.6267
Se1 Se 0.5735 0.5735 0.7540
Se2 Se 0.8529 0.8529 0.2586
```

---

ii:
DFT (GGA-PBE) results for CuPSe2 after structural relaxation.

Summary:
**Calculated volume**: 24.4 Å³ per atom
**Space-group type**: Cmmm, No. 65
**Crystal system**: orthorhombic

The structure in CIF format:
```
data_CuPSe2
_space_group_name_H-M_alt 'P 1'
_space_group_IT_number 1
_cell_length_a 4.4018
_cell_length_b 4.4018
_cell_length_c 6.9487
_cell_angle_alpha 90.00
_cell_angle_beta 90.00
_cell_angle_gamma 133.60
loop_
_space_group_symop_operation_xyz
'x,y,z'
loop_
_atom_site_label
_atom_site_type_symbol
_atom_site_fract_x
_atom_site_fract_y
_atom_site_fract_z
Cu1 Cu 0.0000 0.0000 0.0000
P1 P 0.0000 0.0000 0.5000
Se1 Se 0.5000 0.5000 0.2496
Se2 Se 0.5000 0.5000 0.7504
```

---

The most stable arrangement is i, and the next structure is 27.7 kJ/mol of atoms less stable.

---

i:
DFT (GGA-PBE) results for CuPSe2 after structural relaxation.

Summary:
**Calculated volume**: 24.2 Å³ per atom
**Space-group type**: C2/m, No. 12
**Crystal system**: monoclinic

The structure in CIF format:
```
data_CuPSe2
_space_group_name_H-M_alt 'P 1'
_space_group_IT_number 1
_cell_length_a 4.9049
_cell_length_b 4.9049
_cell_length_c 4.1190
_cell_angle_alpha 98.52
_cell_angle_beta 98.52
_cell_angle_gamma 89.97
loop_
_space_group_symop_operation_xyz
'x,y,z'
loop_
_atom_site_label
_atom_site_type_symbol
_atom_site_fract_x
_atom_site_fract_y
_atom_site_fract_z
Cu1 Cu 0.0000 0.0000 0.0000
P1 P 0.5000 0.5000 0.0000
Se1 Se 0.0000 0.5000 0.0000
Se2 Se 0.5000 0.0000 0.0000
```

---

ii:
DFT (GGA-PBE) results for CuPSe2 after structural relaxation.

Summary:
**Calculated volume**: 19.0 Å³ per atom
**Space-group type**: Cmm2, No. 35
**Crystal system**: orthorhombic

The structure in CIF format:
```
data_CuPSe2
_space_group_name_H-M_alt 'P 1'
_space_group_IT_number 1
_cell_length_a 3.0094
_cell_length_b 3.0094
_cell_length_c 9.2065
_cell_angle_alpha 90.00
_cell_angle_beta 90.00
_cell_angle_gamma 114.01
loop_
_space_group_symop_operation_xyz
'x,y,z'
loop_
_atom_site_label
_atom_site_type_symbol
_atom_site_fract_x
_atom_site_fract_y
_atom_site_fract_z
Cu1 Cu 0.0000 0.0000 0.0000
P1 P 0.5000 0.5000 0.1805
Se1 Se 0.0000 0.0000 0.4082
Se2 Se 0.5000 0.5000 0.7992
```

---

The most stable arrangement is i, and the next structure is 15.3 kJ/mol of atoms less stable.

---

i:
DFT (GGA-PBE) results for CuP2Se after structural relaxation.

Summary:
**Calculated volume**: 25.0 Å³ per atom
**Space-group type**: I4/mmm, No. 139
**Crystal system**: tetragonal

The structure in CIF format:
```
data_CuP2Se
_space_group_name_H-M_alt 'P 1'
_space_group_IT_number 1
_cell_length_a 9.2491
_cell_length_b 9.2491
_cell_length_c 9.2491
_cell_angle_alpha 159.18
_cell_angle_beta 159.18
_cell_angle_gamma 29.61
loop_
_space_group_symop_operation_xyz
'x,y,z'
loop_
_atom_site_label
_atom_site_type_symbol
_atom_site_fract_x
_atom_site_fract_y
_atom_site_fract_z
Cu1 Cu 0.0000 0.0000 0.0000
P1 P 0.2500 0.7500 0.5000
P2 P 0.7500 0.2500 0.5000
Se1 Se 0.5000 0.5000 0.0000
```

---

ii:
DFT (GGA-PBE) results for CuP2Se after structural relaxation.

Summary:
**Calculated volume**: 15.9 Å³ per atom
**Space-group type**: Cmmm, No. 65
**Crystal system**: orthorhombic

The structure in CIF format:
```
data_CuP2Se
_space_group_name_H-M_alt 'P 1'
_space_group_IT_number 1
_cell_length_a 4.5066
_cell_length_b 4.5066
_cell_length_c 3.2230
_cell_angle_alpha 90.00
_cell_angle_beta 90.00
_cell_angle_gamma 104.18
loop_
_space_group_symop_operation_xyz
'x,y,z'
loop_
_atom_site_label
_atom_site_type_symbol
_atom_site_fract_x
_atom_site_fract_y
_atom_site_fract_z
Cu1 Cu 0.0000 0.0000 0.0000
P1 P 0.0000 0.5000 0.5000
P2 P 0.5000 0.0000 0.5000
Se1 Se 0.5000 0.5000 0.0000
```

---

The most stable arrangement is i, and the next structure is 25.7 kJ/mol of atoms less stable.